Compound: Tb4Si2S3O7
Source: the Alexandria database
Functional: PBE-GGA
Structure: optimized geometry

Lattice parameters (Å, degrees): 11.771 11.771 13.765 90.00 90.00 90.00
Space group I4_1/amd (No. 141, origin choice 2)
Symmetry-distinct sites (fractional):
1 Tb 0.000 0.014 0.342 (multiplicity 16)
2 Tb 0.172 0.078 0.875 (multiplicity 16)
3 Si 0.000 0.125 0.096 (multiplicity 16)
4 S 0.000 0.250 0.375 (multiplicity 4)
5 S 0.000 0.250 0.875 (multiplicity 4)
6 S 0.147 0.000 0.500 (multiplicity 16)
7 O 0.000 0.018 0.174 (multiplicity 16)
8 O 0.000 0.250 0.149 (multiplicity 8)
9 O 0.123 0.109 0.042 (multiplicity 32)

uncorrected formation energy	-2.87	eV/atom
ρ	6.27	Mg/m³
N(E_F)	0.000	states/eV per atom